An optimized crystal structure of Cs2CdOs. Source: the Alexandria database, functional PBE.

Cell: 6.159 6.159 6.159 Å, 60.00 60.00 60.00°
Site moments in Bohr magnetons follow the coordinates.
Positions (direct):
Cs (0.750, 0.750, 0.750)  0.00
Cs (0.250, 0.250, 0.250)  0.00
Os (0.500, 0.500, 0.500)  2.12
Cd (0.000, 0.000, 0.000)  -0.02

Summary:
Formation energy in eV/atom: 1.339
E above lowest polymorph in eV per atom: 0.000

***

An optimized crystal structure of CsCd3Os. Source: the Alexandria database, functional PBE.

Cell: 5.374 5.374 5.374 Å, 90.00 90.00 90.00°
Positions (direct):
Cd (0.500, 0.000, 0.000)
Cd (0.000, 0.000, 0.500)
Cd (0.000, 0.500, 0.000)
Os (0.000, 0.000, 0.000)
Cs (0.500, 0.500, 0.500)

Summary:
Formation energy in eV/atom: 0.405
E above lowest polymorph in eV per atom: 0.000

***

Which formula does entry 2 have? CsCd3Os